a | The following is a DFT calculation (PBE) of a relaxed Zn2AsO5 crystal.

Summary:
Volume   212.0 Å³ per cell
Space-group type   P-1 (2)

abc: 5.7738 5.8585 6.7642
angles: 105.88 105.36 88.08
Last column: nearest neighbours and their distance in Å.
Fractional coordinates of all 16 atoms:
Zn  0.3900  0.2471  0.5006  5 O 1.98-2.12
Zn  0.6100  0.7529  0.4994  5 O 1.98-2.12
Zn  0.0253  0.7369  0.1997  5 O 1.98-2.18
Zn  0.9747  0.2631  0.8003  5 O 1.98-2.18
As  0.8168  0.2418  0.2606  4 O 1.70-1.76
As  0.1832  0.7582  0.7394  4 O 1.70-1.76
O  0.7580  0.9489  0.1298  1 As 1.70
O  0.2420  0.0511  0.8702  1 As 1.70
O  0.9214  0.3884  0.1095  1 As 1.73
O  0.0786  0.6116  0.8905  1 As 1.73
O  0.5712  0.3869  0.3307  1 As 1.74
O  0.4288  0.6132  0.6693  1 As 1.74
O  0.9573  0.7417  0.5034  1 As 1.76
O  0.0427  0.2583  0.4966  1 As 1.76
O  0.3475  0.8985  0.3253  3 Zn 1.98-2.05
O  0.6525  0.1015  0.6747  3 Zn 1.98-2.05

=====

b | The following is a DFT calculation (PBE) of a relaxed Zn2AsO5 crystal.

Summary:
Volume   443.6 Å³ per cell
Space-group type   Pnnm (58)

abc: 6.0712 8.4892 8.6065
angles: 90.00 90.00 90.00
Last column: nearest neighbours and their distance in Å.
Fractional coordinates of all 32 atoms:
Zn  0.0000  0.8557  0.1267  5 O 1.97-2.07
Zn  0.0000  0.1443  0.8734  5 O 1.97-2.07
Zn  0.5000  0.6443  0.6266  5 O 1.97-2.07
Zn  0.5000  0.3557  0.3734  5 O 1.97-2.07
Zn  0.2461  0.5000  0.0000  4 O 1.97-2.04
Zn  0.2539  0.0000  0.5000  4 O 1.97-2.04
Zn  0.7539  0.5000  0.0000  4 O 1.97-2.04
Zn  0.7461  0.0000  0.5000  4 O 1.97-2.04
As  0.5000  0.7418  0.2514  4 O 1.72-1.75
As  0.5000  0.2582  0.7486  4 O 1.72-1.75
As  0.0000  0.7582  0.7514  4 O 1.72-1.75
As  0.0000  0.2418  0.2486  4 O 1.72-1.75
O  0.5000  0.5983  0.3941  1 As 1.73
O  0.5000  0.4017  0.6059  1 As 1.73
O  0.0000  0.9017  0.8941  1 As 1.73
O  0.0000  0.0983  0.1059  1 As 1.73
O  0.5000  0.6367  0.0765  1 As 1.75
O  0.5000  0.3633  0.9235  1 As 1.75
O  0.0000  0.8633  0.5765  1 As 1.75
O  0.0000  0.1367  0.4235  1 As 1.75
O  0.2681  0.8569  0.2649  1 As 1.72
O  0.2681  0.1431  0.7351  1 As 1.72
O  0.2319  0.6431  0.7649  1 As 1.72
O  0.2319  0.3569  0.2351  1 As 1.72
O  0.7319  0.1431  0.7351  1 As 1.72
O  0.7319  0.8569  0.2649  1 As 1.72
O  0.7681  0.3569  0.2351  1 As 1.72
O  0.7681  0.6431  0.7649  1 As 1.72
O  0.0000  0.6291  0.0761  3 Zn 1.97
O  0.0000  0.3709  0.9239  3 Zn 1.97
O  0.5000  0.8709  0.5761  3 Zn 1.97
O  0.5000  0.1291  0.4239  3 Zn 1.97

=====

In order of decreasing stability: b, a.

=====

a | The following is a DFT calculation (PBE) of a relaxed As3Os crystal.

Summary:
Volume   82.9 Å³ per cell
Space-group type   Cmmm (65)

abc: 4.0112 5.0669 5.0673
angles: 53.65 90.00 90.00
Last column: nearest neighbours and their distance in Å.
Fractional coordinates of all 4 atoms:
As  0.0000  0.0728  0.0728  2 Os 2.57, 2 As 2.64
As  0.5000  0.7500  0.7500  2 Os 2.29
As  0.0000  0.4272  0.4272  2 Os 2.57, 2 As 2.64
Os  0.5000  0.2500  0.2500  2 As 2.29

=====

b | The following is a DFT calculation (PBE) of a relaxed As3Os crystal.

Summary:
Volume   115.1 Å³ per cell
Space-group type   Pm-3m (221)

abc: 4.8647 4.8647 4.8647
angles: 90.00 90.00 90.00
Last column: nearest neighbours and their distance in Å.
Fractional coordinates of all 4 atoms:
As  0.5000  0.0000  0.0000  2 Os 2.43
As  0.0000  0.5000  0.0000  2 Os 2.43
As  0.0000  0.0000  0.5000  2 Os 2.43
Os  0.0000  0.0000  0.0000  6 As 2.43

=====

In order of decreasing stability: a, b.